[1]
VASP calculation (GGA-PBE) on an optimized crystal structure of Hf2TiTlAu.

Geometry as POSCAR:
```
Hf2TiTlAu
1.0
-3.032 -0.682 4.221
-3.951 -0.643 -2.942
0.950 -5.153 -0.150
Au Ti Hf Tl
1 1 2 1
Cartesian
-3.016 -3.239 0.565
-1.976 -0.321 -1.471
-1.516 -0.341 2.111
0.475 -2.576 -0.075
0.000 0.000 0.000
```

Output
N(E_F): 2.141 states/eV per atom
formation enthalpy at 0 K: 6.75 eV/f.u.
space-group type: P4/mmm, No. 123
crystal system: tetragonal
V: 27.3 A^3/atom
DFT total energy: -5.34 eV per atom

---

[2]
VASP calculation (GGA-PBE) on an optimized crystal structure of NdEr5Th.

Geometry as POSCAR:
```
NdEr5Th
1.0
-2.899 4.285 5.985
2.899 -4.285 5.985
2.899 4.285 -5.985
Er Nd Th
5 1 1
Cartesian
2.899 0.000 0.000
0.000 5.805 0.000
0.000 0.000 2.913
0.000 0.000 9.056
0.000 2.765 0.000
0.000 0.000 0.000
0.000 0.000 5.985
```

Output
N(E_F): 1.566 states/eV per atom
formation enthalpy at 0 K: 8.32 eV/f.u.
space-group type: Immm, No. 71
crystal system: orthorhombic
V: 42.5 A^3/atom
DFT total energy: -3.81 eV per atom